Entry from the Alexandria database: crystalline Na2Sb2Au at its relaxed geometry (PBE).

## Properties
Energy relative to the lowest polymorph listed for this composition (meV per atom): 410
Magnetization (μB/atom): 0.00
Formation energy from raw total energies (eV/atom): 0.06

Cell and atoms, written as CIF:
```
data_Na2Sb2Au
_symmetry_space_group_name_H-M 'P 4/m b m'
_symmetry_Int_Tables_number 127
_symmetry_space_group_name_Hall '-P 4 2ab'
_cell_length_a 9.1730
_cell_length_b 9.1730
_cell_length_c 3.0498
_cell_angle_alpha 90.00
_cell_angle_beta 90.00
_cell_angle_gamma 90.00
loop_
_atom_site_label
_atom_site_type_symbol
_atom_site_fract_x
_atom_site_fract_y
_atom_site_fract_z
Na1 Na 0.1166 0.3834 0.0000
Sb1 Sb 0.1844 0.6844 0.5000
Au1 Au 0.0000 0.0000 0.0000
```